{"formula": "Tl2CoPb", "functional": "GGA-PBE", "state": "relaxed", "lattice_angstrom": [[-1.204, 4.948, 8.035], [-4.543, 4.098, 7.285], [-2.484, 1.809, 9.003]], "species": ["Co", "Pb", "Tl", "Tl"], "frac_coords": [[0.501, 0.501, 0.501], [0.770, 0.770, 0.770], [0.998, 0.998, 0.998], [0.232, 0.232, 0.232]], "m_tot_mub_per_fu": 0.900, "ef_mev_per_atom": 343}



{"formula": "TlCo4Pb", "functional": "GGA-PBE", "state": "relaxed", "lattice_angstrom": [[0.000, 3.594, 3.594], [3.594, 0.000, 3.594], [3.594, 3.594, 0.000]], "species": ["Tl", "Co", "Co", "Co", "Co", "Pb"], "frac_coords": [[0.000, 0.000, 0.000], [0.875, 0.375, 0.375], [0.375, 0.375, 0.875], [0.375, 0.875, 0.375], [0.375, 0.375, 0.375], [0.750, 0.750, 0.750]], "m_tot_mub_per_fu": 6.450, "ef_mev_per_atom": 473}



{"formula": "Tl2CoPb", "functional": "GGA-PBE", "state": "relaxed", "lattice_angstrom": [[3.266, 0.080, 0.000], [-0.088, 3.266, 0.000], [0.000, 0.000, 8.935]], "species": ["Co", "Pb", "Tl", "Tl"], "frac_coords": [[0.500, 0.500, 0.250], [0.500, 0.500, 0.750], [0.000, 0.000, 0.065], [0.000, 0.000, 0.435]], "m_tot_mub_per_fu": 1.020, "ef_mev_per_atom": 410}



{"formula": "Tl2CoPb", "functional": "GGA-PBE", "state": "relaxed", "lattice_angstrom": [[-2.697, -0.345, -2.189], [0.669, -6.453, 0.191], [-2.499, -4.628, 3.807]], "species": ["Co", "Pb", "Tl", "Tl"], "frac_coords": [[0.000, 0.501, 0.501], [0.500, 0.667, 0.667], [0.000, 0.001, 0.001], [0.500, 0.331, 0.331]], "m_tot_mub_per_fu": 0.618, "ef_mev_per_atom": 298}



{"formula": "TlCoPb2", "functional": "GGA-PBE", "state": "relaxed", "lattice_angstrom": [[-1.444, 0.625, -7.508], [-3.313, -1.910, -6.650], [-3.597, 2.519, -0.393]], "species": ["Co", "Pb", "Pb", "Tl"], "frac_coords": [[0.738, 0.738, 0.762], [0.079, 0.079, 0.921], [0.255, 0.255, 0.245], [0.428, 0.428, 0.572]], "m_tot_mub_per_fu": 0.785, "ef_mev_per_atom": 318}



{"formula": "Tl2CoPb", "functional": "GGA-PBE", "state": "relaxed", "lattice_angstrom": [[-4.708, -1.752, 2.180], [1.638, -3.666, -3.724], [1.785, -1.716, 2.475]], "species": ["Co", "Pb", "Tl", "Tl"], "frac_coords": [[0.500, 0.000, 0.500], [0.000, 0.500, 0.500], [0.000, 0.000, 0.000], [0.500, 0.500, 0.000]], "m_tot_mub_per_fu": 1.635, "ef_mev_per_atom": 617}



{"formula": "TlCoPb2", "functional": "GGA-PBE", "state": "relaxed", "lattice_angstrom": [[7.600, 0.074, 0.205], [-3.000, 4.528, -0.076], [1.599, 1.064, 2.955]], "species": ["Co", "Pb", "Pb", "Tl"], "frac_coords": [[0.500, 0.500, 0.000], [0.000, 0.000, 0.000], [0.500, 0.000, 0.500], [0.000, 0.500, 0.500]], "m_tot_mub_per_fu": 1.624, "ef_mev_per_atom": 576}



{"formula": "TlCoPb2", "functional": "GGA-PBE", "state": "relaxed", "lattice_angstrom": [[3.341, 0.000, 0.000], [0.000, 3.344, 0.010], [0.000, 3.264, 8.897]], "species": ["Co", "Pb", "Pb", "Tl"], "frac_coords": [[0.500, 0.750, 0.750], [0.000, 0.067, 0.935], [0.000, 0.433, 0.565], [0.500, 0.250, 0.250]], "m_tot_mub_per_fu": 1.183, "ef_mev_per_atom": 244}



{"formula": "TlCoPb2", "functional": "GGA-PBE", "state": "relaxed", "lattice_angstrom": [[-2.083, -1.431, 2.747], [1.592, -2.066, 2.670], [1.155, 5.890, 6.462]], "species": ["Co", "Pb", "Pb", "Tl"], "frac_coords": [[0.750, 0.750, 0.750], [0.022, 0.022, 0.933], [0.478, 0.478, 0.567], [0.250, 0.250, 0.250]], "m_tot_mub_per_fu": 0.002, "ef_mev_per_atom": 301}



{"formula": "Tl2CoPb", "functional": "GGA-PBE", "state": "relaxed", "lattice_angstrom": [[7.443, -0.013, -0.052], [6.760, 3.115, -0.052], [1.383, 0.302, 4.257]], "species": ["Co", "Pb", "Tl", "Tl"], "frac_coords": [[0.505, 0.505, 0.495], [0.172, 0.172, 0.328], [0.998, 0.998, 0.002], [0.824, 0.824, 0.676]], "m_tot_mub_per_fu": 0.751, "ef_mev_per_atom": 331}



{"formula": "Tl2CoPb", "functional": "GGA-PBE", "state": "relaxed", "lattice_angstrom": [[-0.758, 3.634, -4.169], [2.735, -1.968, -4.451], [-3.698, -2.475, 3.371]], "species": ["Co", "Pb", "Tl", "Tl"], "frac_coords": [[0.500, 0.500, 0.000], [0.750, 0.250, 0.500], [0.000, 0.000, 0.000], [0.250, 0.750, 0.500]], "m_tot_mub_per_fu": 1.649, "ef_mev_per_atom": 580}



{"formula": "Tl2CoPb", "functional": "GGA-PBE", "state": "relaxed", "lattice_angstrom": [[-2.576, -4.536, -0.091], [0.337, -3.107, -4.178], [2.627, -4.498, 0.299]], "species": ["Co", "Pb", "Tl", "Tl"], "frac_coords": [[0.000, 0.000, 0.000], [0.500, 0.500, 0.500], [0.250, 0.250, 0.250], [0.750, 0.750, 0.750]], "m_tot_mub_per_fu": 1.700, "ef_mev_per_atom": 650}



Please write out number 2 again, unchanged.
{"formula": "TlCo4Pb", "functional": "GGA-PBE", "state": "relaxed", "lattice_angstrom": [[0.000, 3.594, 3.594], [3.594, 0.000, 3.594], [3.594, 3.594, 0.000]], "species": ["Tl", "Co", "Co", "Co", "Co", "Pb"], "frac_coords": [[0.000, 0.000, 0.000], [0.875, 0.375, 0.375], [0.375, 0.375, 0.875], [0.375, 0.875, 0.375], [0.375, 0.375, 0.375], [0.750, 0.750, 0.750]], "m_tot_mub_per_fu": 6.450, "ef_mev_per_atom": 473}